(a)
This record from Alexandria describes ScCo3O after structural relaxation. The functional is PBE+U.

a = 4.4387 Å, b = 4.4387 Å, c = 4.4387 Å
α = 90.00°, β = 90.00°, γ = 90.00°
Site moments in Bohr magnetons follow the coordinates.
Fractional positions:
Co 0.0000 0.0000 0.5000  1.56
O 0.5000 0.5000 0.5000  0.14
Sc 0.0000 0.0000 0.0000  -0.51
Co 0.5000 0.0000 0.0000  1.24
Co 0.0000 0.5000 0.0000  1.49

Calculated values
- total magnetic moment (μB/atom) = 0.78
- space-group type = Pm-3m (221)

***

(b)
This record from Alexandria describes ScCo3O after structural relaxation. The functional is PBE+U.

a = 3.9501 Å, b = 3.9501 Å, c = 3.9501 Å
α = 90.00°, β = 90.00°, γ = 90.00°
Site moments in Bohr magnetons follow the coordinates.
Fractional positions:
Co 0.0000 0.5000 0.0000  1.58
O 0.0000 0.0000 0.0000  0.14
Co 0.5000 0.0000 0.0000  1.88
Co 0.0000 0.0000 0.5000  1.37
Sc 0.5000 0.5000 0.5000  -0.46

Calculated values
- total magnetic moment (μB/atom) = 0.80
- space-group type = Pm-3m (221)

***

Verdict on stability: (a) comes out at the bottom.